First-principles (PBE) data for a relaxed structure of Tl2Te2Se2S, as listed in Alexandria.

Values from the calculation:
ΔE_f (raw), meV/atom: -117
SG: No. 12
Total moment, μB per formula unit: 0.00

a b c (Å): 4.8656 7.2557 7.3487
angles (deg): 74.85 70.67 70.41
Fractional coordinates of all 7 atoms:
1 Tl 0.5423 0.1830 0.7324
2 Tl 0.4577 0.8170 0.2676
3 Te 0.2507 0.6804 0.8181
4 Te 0.7493 0.3196 0.1819
5 Se 0.1979 0.2578 0.3464
6 Se 0.8021 0.7422 0.6536
7 S 0.0000 0.0000 0.0000

=====

First-principles (PBE) data for a relaxed structure of Tm4Te2SeS, as listed in Alexandria.

Values from the calculation:
ΔE_f (raw), meV/atom: -1502
SG: No. 10
Total moment, μB per formula unit: 0.00

a b c (Å): 4.0574 7.1441 7.2265
angles (deg): 108.84 90.00 90.00
Fractional coordinates of all 8 atoms:
1 Tm 0.5000 0.2513 0.2078
2 Tm 0.5000 0.7487 0.7922
3 Tm 0.0000 0.2771 0.7960
4 Tm 0.0000 0.7229 0.2040
5 Te 0.5000 0.0000 0.5000
6 Te 0.0000 0.5000 0.5000
7 Se 0.0000 0.0000 0.0000
8 S 0.5000 0.5000 0.0000

=====

First-principles (PBE) data for a relaxed structure of Tm4TeSe2S, as listed in Alexandria.

Values from the calculation:
ΔE_f (raw), meV/atom: -1580
SG: No. 10
Total moment, μB per formula unit: 0.00

a b c (Å): 4.0305 7.0237 7.0861
angles (deg): 70.68 90.00 90.00
Fractional coordinates of all 8 atoms:
1 Tm 0.0000 0.7371 0.7830
2 Tm 0.0000 0.2629 0.2170
3 Tm 0.5000 0.7574 0.2129
4 Tm 0.5000 0.2426 0.7871
5 Te 0.0000 0.5000 0.5000
6 Se 0.0000 0.0000 0.0000
7 Se 0.5000 0.0000 0.5000
8 S 0.5000 0.5000 0.0000

=====

First-principles (PBE) data for a relaxed structure of Tm3TeSeS, as listed in Alexandria.

Values from the calculation:
ΔE_f (raw), meV/atom: -1423
SG: No. 15
Total moment, μB per formula unit: 0.00

a b c (Å): 6.6885 6.7414 7.8653
angles (deg): 64.62 82.28 71.73
Fractional coordinates of all 12 atoms:
1 Tm 0.4989 0.8372 0.8535
2 Tm 0.0011 0.3092 0.8535
3 Tm 0.7500 0.2447 0.5107
4 Tm 0.5011 0.1628 0.1465
5 Tm 0.9989 0.6908 0.1465
6 Tm 0.2500 0.7553 0.4893
7 Te 0.2500 0.2515 0.4969
8 Te 0.7500 0.7485 0.5031
9 Se 0.2500 0.5622 0.8756
10 Se 0.7500 0.4378 0.1244
11 S 0.7500 0.0591 0.8817
12 S 0.2500 0.9409 0.1183

=====

First-principles (PBE) data for a relaxed structure of Tm6TeSe3S2, as listed in Alexandria.

Values from the calculation:
ΔE_f (raw), meV/atom: -1644
SG: No. 12
Total moment, μB per formula unit: 0.00

a b c (Å): 6.9445 6.9445 6.9742
angles (deg): 99.57 99.57 120.08
Fractional coordinates of all 12 atoms:
1 Tm 0.9199 0.5564 0.7633
2 Tm 0.7117 0.7117 0.2293
3 Tm 0.0801 0.4436 0.2367
4 Tm 0.5564 0.9199 0.7633
5 Tm 0.2883 0.2883 0.7707
6 Tm 0.4436 0.0801 0.2367
7 Te 0.0000 0.0000 0.0000
8 Se 0.1561 0.8439 0.5000
9 Se 0.8439 0.1561 0.5000
10 Se 0.5000 0.5000 0.5000
11 S 0.3311 0.6689 0.0000
12 S 0.6689 0.3311 0.0000

=====

First-principles (PBE) data for a relaxed structure of Tm8Te3Se3S, as listed in Alexandria.

Values from the calculation:
ΔE_f (raw), meV/atom: -1342
SG: No. 166
Total moment, μB per formula unit: 0.00

a b c (Å): 8.1620 8.1623 8.2855
angles (deg): 119.51 90.00 120.00
Fractional coordinates of all 15 atoms:
1 Tm 0.2629 0.5258 0.2886
2 Tm 0.7371 0.4742 0.7114
3 Tm 0.7696 0.5392 0.2878
4 Tm 0.2304 0.4608 0.7122
5 Tm 0.7696 0.0182 0.2878
6 Tm 0.2304 0.9818 0.7122
7 Tm 0.2486 0.0182 0.2878
8 Tm 0.7514 0.9818 0.7122
9 Te 0.0000 0.0000 0.0000
10 Te 0.0000 0.5000 0.0000
11 Te 0.5000 0.5000 0.0000
12 Se 0.5000 0.0000 0.5000
13 Se 0.5000 0.5000 0.5000
14 Se 0.0000 0.5000 0.5000
15 S 0.0000 0.0000 0.5000

=====

Question: Which value of total moment does entry 6 give?
Answer: 0.00 μB per formula unit